PaMn2PdO8 | PBE+U | relaxed

Output
Size of the total moment = 5.00 Bohr magnetons per cell
V = 13.3 Å³ per atom
Final energy = -7.230 eV per atom
D(E_F) = 4.64 states/eV/cell

Lattice parameters (Å, degrees): 5.921 5.921 5.921 109.63 109.63 109.15
Fractional positions:
1 Pa 0.000 0.000 0.000
2 Mn 0.250 0.750 0.500
3 Mn 0.500 0.500 0.000
4 Pd 0.750 0.250 0.500
5 O 0.078 0.277 0.801
6 O 0.091 0.402 0.311
7 O 0.091 0.781 0.689
8 O 0.219 0.909 0.311
9 O 0.476 0.277 0.199
10 O 0.598 0.909 0.689
11 O 0.723 0.524 0.801
12 O 0.723 0.922 0.199